# 1
The following is a DFT calculation (PBE+U) of an optimized crystal structure of In2NiBiO6.

The structure in extended XYZ format:
```
10
Lattice="5.570 0.004 0.004 2.782 4.825 0.004 2.781 1.607 4.916" Properties=species:S:1:pos:R:3 pbc="T T T"
In 5.567 3.218 2.159
In 2.781 1.608 4.516
Ni 8.351 4.828 2.724
Bi 2.784 1.610 0.374
O 4.812 1.396 1.284
O 4.366 4.785 1.287
O 7.524 3.476 1.288
O 6.456 4.654 3.688
O 6.364 1.729 3.687
O 3.877 3.270 3.685
```

Results
Space group: R3 (146)
Size of the total moment, μB per formula unit: 1.27
E, eV/atom: -5.41

# 2
The following is a DFT calculation (PBE+U) of an optimized crystal structure of InNi2BiO6.

The structure in extended XYZ format:
```
10
Lattice="5.388 -0.002 0.000 2.696 4.665 -0.004 2.694 1.557 4.789" Properties=species:S:1:pos:R:3 pbc="T T T"
In 8.084 4.664 2.782
Ni 5.389 3.110 2.129
Ni 2.694 1.557 4.542
Bi 2.694 1.554 0.297
O 4.636 1.435 1.173
O 4.316 4.598 1.170
O 7.215 3.295 1.171
O 6.103 4.545 3.578
O 6.274 1.775 3.580
O 3.790 3.012 3.579
```

Results
Space group: R3 (146)
Size of the total moment, μB per formula unit: 4.00
E, eV/atom: -5.28

# 3
The following is a DFT calculation (PBE+U) of an optimized crystal structure of InNiBi2O6.

The structure in extended XYZ format:
```
20
Lattice="-0.962 4.995 2.203 -4.937 -2.103 2.614 4.272 -1.993 6.466" Properties=species:S:1:pos:R:3 pbc="T T T"
In -0.481 2.498 1.101
In -0.333 -2.048 4.540
Ni 1.655 1.501 4.334
Ni -2.469 -1.052 1.307
Bi -3.519 -2.463 4.234
Bi 0.048 -0.148 7.557
Bi 1.892 3.363 7.048
Bi -1.675 1.047 3.726
O -3.470 0.145 2.728
O -2.581 1.320 7.468
O 1.843 0.754 8.554
O 0.954 -0.421 3.814
O -1.981 -0.752 5.230
O -0.795 0.549 9.812
O 0.354 1.652 6.052
O -0.833 0.350 1.470
O -2.577 2.690 4.944
O -1.827 -1.599 8.063
O 0.950 -1.791 6.339
O 0.200 2.498 3.219
```

Results
Space group: P2_1/c (14)
Size of the total moment, μB per formula unit: 1.46
E, eV/atom: -5.44